Record 1
AgRuWC2, relaxed, DFT PBE-GGA; ΔH_f (0 K) = 1.896 eV/atom; ρ = 8.4 g cm⁻³; space-group type = P4/mmm; total moment = 0.150 μB per atom
1.0
4.087 0.000 0.000
0.000 4.087 0.000
0.000 0.000 4.924
Ag Ru W C
1 1 1 2
Direct
0.000 0.000 0.000
0.500 0.500 0.000
0.500 0.500 0.500
0.000 0.500 0.500
0.500 0.000 0.500

***

Record 2
YAgRu2C, relaxed, DFT PBE-GGA; ΔH_f (0 K) = 1.684 eV/atom; ρ = 7.0 g cm⁻³; space-group type = P4/mmm; total moment = 0.548 μB per atom
1.0
5.053 0.000 0.000
0.000 5.053 0.000
0.000 0.000 3.824
Y Ag Ru C
1 1 2 1
Direct
0.000 0.000 0.000
0.500 0.500 0.500
0.000 0.500 0.500
0.500 0.000 0.500
0.500 0.500 0.000

***

Record 3
Ag2CS, relaxed, DFT PBE-GGA; ρ = 7.1 g cm⁻³; energy relative to the lowest polymorph listed for this composition = 201 meV/atom; space-group type = Fm-3m; total moment = 0.057 μB per atom; energy relative to the elements, uncorrected = 1.426 eV per atom
1.0
0.000 3.113 3.113
3.113 0.000 3.113
3.113 3.113 0.000
Ag C S
2 1 1
Direct
0.250 0.250 0.250
0.750 0.750 0.750
0.000 0.000 0.000
0.500 0.500 0.500